Entry 1:
Below is TePPb4 after structural relaxation, with properties calculated at the GGA-PBE level.

Cell: 5.9775 22.6336 6.0904 Å, 90.00 90.00 90.00°
Closest atoms and distances in Å follow each position.
Fractional positions:
Te  0.0000  0.1237  0.2500  4 Pb 3.07-3.11
Te  0.0000  0.8763  0.7500  4 Pb 3.07-3.11
Te  0.5000  0.3763  0.7500  4 Pb 3.07-3.11
Te  0.5000  0.6237  0.2500  4 Pb 3.07-3.11
P  0.0000  0.3706  0.2500  4 Pb 2.72-2.74
P  0.0000  0.6294  0.7500  4 Pb 2.72-2.74
P  0.5000  0.1294  0.7500  4 Pb 2.72-2.74
P  0.5000  0.8706  0.2500  4 Pb 2.72-2.74
Pb  0.1710  0.2894  0.5374  1 P 2.74
Pb  0.1710  0.7106  0.0374  1 P 2.74
Pb  0.2372  0.0419  0.5871  1 P 2.72
Pb  0.2372  0.9581  0.0871  1 P 2.72
Pb  0.2628  0.4581  0.0871  1 P 2.72
Pb  0.2628  0.5419  0.5871  1 P 2.72
Pb  0.3290  0.2106  0.0374  1 P 2.74
Pb  0.3290  0.7894  0.5374  1 P 2.74
Pb  0.6710  0.2106  0.4626  1 P 2.74
Pb  0.6710  0.7894  0.9626  1 P 2.74
Pb  0.7372  0.4581  0.4129  1 P 2.72
Pb  0.7372  0.5419  0.9129  1 P 2.72
Pb  0.7628  0.0419  0.9129  1 P 2.72
Pb  0.7628  0.9581  0.4129  1 P 2.72
Pb  0.8290  0.2894  0.9626  1 P 2.74
Pb  0.8290  0.7106  0.4626  1 P 2.74

Properties
SG ... No. 60
Raw formation energy ... 35.6 meV per atom
Magnetic moment ... 0.00 μB/f.u.
Final energy ... -3.86 eV per atom
Fermi-level density of states ... 0.359 states/eV per atom

---

Entry 2:
Below is Te2PPb after structural relaxation, with properties calculated at the GGA-PBE level.

Cell: 6.7215 6.7215 6.7215 Å, 142.55 142.55 54.00°
Closest atoms and distances in Å follow each position.
Fractional positions:
Te  0.2500  0.7500  0.5000  4 Te 3.05
Te  0.7500  0.2500  0.5000  4 Te 3.05
P  0.0000  0.0000  0.0000  4 Pb 3.05
Pb  0.5000  0.5000  0.0000  4 P 3.05

Properties
SG ... No. 139
Raw formation energy ... 416.7 meV per atom
Magnetic moment ... 0.00 μB/f.u.
Final energy ... -3.43 eV per atom
Fermi-level density of states ... 0.890 states/eV per atom

---

Entry 3:
Below is Te2PPb after structural relaxation, with properties calculated at the GGA-PBE level.

Cell: 3.7237 3.7237 8.9611 Å, 90.00 90.00 90.00°
Closest atoms and distances in Å follow each position.
Fractional positions:
Te  0.0000  0.0000  0.0000  4 Pb 3.17
Te  0.5000  0.5000  0.3978  4 P 2.77
P  0.0000  0.0000  0.4923  4 Te 2.77
Pb  0.5000  0.5000  0.8033  4 Te 3.17

Properties
SG ... No. 99
Raw formation energy ... 169.1 meV per atom
Magnetic moment ... 0.00 μB/f.u.
Final energy ... -3.68 eV per atom
Fermi-level density of states ... 0.537 states/eV per atom

---

Entry 4:
Below is Te2PPb after structural relaxation, with properties calculated at the GGA-PBE level.

Cell: 4.1157 4.1157 8.8283 Å, 90.00 90.00 121.33°
Closest atoms and distances in Å follow each position.
Fractional positions:
Te  0.0000  0.0000  0.0000  2 Pb 2.97
Te  0.5000  0.5000  0.3169  2 P 2.56
P  0.0000  0.0000  0.4948  2 Te 2.56
Pb  0.5000  0.5000  0.7534  2 Te 2.97, 2 P 3.05

Properties
SG ... No. 35
Raw formation energy ... 281.9 meV per atom
Magnetic moment ... 0.00 μB/f.u.
Final energy ... -3.57 eV per atom
Fermi-level density of states ... 0.655 states/eV per atom

---

Entry 5:
Below is TeP3Pb after structural relaxation, with properties calculated at the GGA-PBE level.

Cell: 5.0956 5.0956 5.0956 Å, 90.00 90.00 90.00°
Closest atoms and distances in Å follow each position.
Fractional positions:
Te  0.0000  0.0000  0.0000  6 P 2.55
P  0.0000  0.0000  0.5000  2 Te 2.55
P  0.0000  0.5000  0.0000  2 Te 2.55
P  0.5000  0.0000  0.0000  2 Te 2.55
Pb  0.5000  0.5000  0.5000  12 P 3.60

Properties
SG ... No. 221
Raw formation energy ... 974.3 meV per atom
Magnetic moment ... 0.00 μB/f.u.
Final energy ... -3.64 eV per atom
Fermi-level density of states ... 1.001 states/eV per atom

---

Entry 6:
Below is TePPb3 after structural relaxation, with properties calculated at the GGA-PBE level.

Cell: 5.5393 5.5393 5.5393 Å, 90.00 90.00 90.00°
Closest atoms and distances in Å follow each position.
Fractional positions:
Te  0.0000  0.0000  0.0000  12 Pb 3.92
P  0.5000  0.5000  0.5000  6 Pb 2.77
Pb  0.0000  0.5000  0.5000  2 P 2.77
Pb  0.5000  0.0000  0.5000  2 P 2.77
Pb  0.5000  0.5000  0.0000  2 P 2.77

Properties
SG ... No. 221
Raw formation energy ... 237.9 meV per atom
Magnetic moment ... 0.00 μB/f.u.
Final energy ... -3.70 eV per atom
Fermi-level density of states ... 0.561 states/eV per atom

---

Entry 7:
Below is TePPb after structural relaxation, with properties calculated at the GGA-PBE level.

Cell: 7.2331 7.3596 14.4882 Å, 90.00 90.00 90.00°
Closest atoms and distances in Å follow each position.
Fractional positions:
Te  0.0954  0.1080  0.1656  1 P 2.44
Te  0.0954  0.3920  0.6656  1 P 2.44
Te  0.4046  0.6080  0.1656  1 P 2.44
Te  0.4046  0.8920  0.6656  1 P 2.44
Te  0.5954  0.1080  0.3344  1 P 2.44
Te  0.5954  0.3920  0.8344  1 P 2.44
Te  0.9046  0.6080  0.3344  1 P 2.44
Te  0.9046  0.8920  0.8344  1 P 2.44
P  0.1002  0.6884  0.9247  1 Te 2.44
P  0.1002  0.8116  0.4247  1 Te 2.44
P  0.3998  0.1884  0.9247  1 Te 2.44
P  0.3998  0.3116  0.4247  1 Te 2.44
P  0.6002  0.6884  0.5753  1 Te 2.44
P  0.6002  0.8116  0.0753  1 Te 2.44
P  0.8998  0.1884  0.5753  1 Te 2.44
P  0.8998  0.3116  0.0753  1 Te 2.44
Pb  0.0328  0.1899  0.3896  3 P 2.85-2.87
Pb  0.0328  0.3101  0.8896  3 P 2.85-2.87
Pb  0.4672  0.6899  0.3896  3 P 2.85-2.87
Pb  0.4672  0.8101  0.8896  3 P 2.85-2.87
Pb  0.5328  0.1899  0.1104  3 P 2.85-2.87
Pb  0.5328  0.3101  0.6104  3 P 2.85-2.87
Pb  0.9672  0.6899  0.1104  3 P 2.85-2.87
Pb  0.9672  0.8101  0.6104  3 P 2.85-2.87

Properties
SG ... No. 61
Raw formation energy ... 50.3 meV per atom
Magnetic moment ... 0.00 μB/f.u.
Final energy ... -4.04 eV per atom
Fermi-level density of states ... 0.554 states/eV per atom

---

Entry 8:
Below is Te2PPb after structural relaxation, with properties calculated at the GGA-PBE level.

Cell: 6.2708 6.2708 4.6050 Å, 95.11 95.11 43.17°
Closest atoms and distances in Å follow each position.
Fractional positions:
Te  0.0000  0.0000  0.0000  1 P 2.55
Te  0.7087  0.7087  0.6584  2 P 2.64
P  0.2145  0.2145  0.9364  3 Te 2.55-2.64
Pb  0.4279  0.4279  0.4269  5 Te 3.20-3.55, 1 P 3.20

Properties
SG ... No. 8
Raw formation energy ... 12.9 meV per atom
Magnetic moment ... 0.00 μB/f.u.
Final energy ... -3.84 eV per atom
Fermi-level density of states ... 0.112 states/eV per atom